Entry 1:
DFT (PBE-GGA) results for an optimized crystal structure of Th4TcPt.

Cell lengths 6.3454, 6.9962, 8.4451 Å; angles 90.00, 117.30, 90.00 degrees
Fractional coordinates of all 12 atoms:
Th1 0.3219 0.2500 0.3988
Th2 0.6781 0.7500 0.6012
Th3 0.8133 0.2500 0.8873
Th4 0.1867 0.7500 0.1127
Th5 0.7614 0.0012 0.2580
Th6 0.2386 0.5012 0.7420
Th7 0.7614 0.4988 0.2580
Th8 0.2386 0.9988 0.7420
Tc1 0.8238 0.2500 0.5609
Tc2 0.1762 0.7500 0.4391
Pt1 0.3386 0.2500 0.0548
Pt2 0.6614 0.7500 0.9452

Total moment in Bohr magnetons per cell: 0.000
Calculated formation energy in eV/atom: -0.455
VASP energy in Ha/atom: -0.299
Symmetry: P2_1/m
DOS(E_F) in states/eV/f.u.: 5.53

***

Entry 2:
DFT (PBE-GGA) results for an optimized crystal structure of Th2TcPt.

Cell lengths 3.7545, 3.7545, 9.2522 Å; angles 78.29, 78.29, 60.00 degrees
Fractional coordinates of all 4 atoms:
Pt1 0.5000 0.5000 0.5000
Th1 0.0939 0.0939 0.7184
Th2 0.9061 0.9061 0.2816
Tc1 0.0000 0.0000 0.0000

Total moment in Bohr magnetons per cell: 0.000
Calculated formation energy in eV/atom: 0.114
VASP energy in Ha/atom: -0.283
Symmetry: R-3m
DOS(E_F) in states/eV/f.u.: 3.16

***

Entry 3:
DFT (PBE-GGA) results for an optimized crystal structure of Th6TcPt5.

Cell lengths 4.3017, 7.7683, 9.2743 Å; angles 85.05, 103.48, 90.08 degrees
Fractional coordinates of all 12 atoms:
Th1 0.1466 0.3448 0.2942
Th2 0.1908 0.8455 0.3822
Th3 0.4738 0.2408 0.9476
Th4 0.5262 0.7592 0.0524
Th5 0.8092 0.1545 0.6178
Th6 0.8534 0.6552 0.7058
Tc1 0.0000 0.0000 0.0000
Pt1 0.3650 0.9163 0.7288
Pt2 0.6938 0.5851 0.3881
Pt3 0.0000 0.5000 0.0000
Pt4 0.3062 0.4149 0.6119
Pt5 0.6350 0.0837 0.2712

Total moment in Bohr magnetons per cell: 0.000
Calculated formation energy in eV/atom: -0.961
VASP energy in Ha/atom: -0.296
Symmetry: P-1
DOS(E_F) in states/eV/f.u.: 10.02

***

Entry 4:
DFT (PBE-GGA) results for an optimized crystal structure of Th4TcPt2.

Cell lengths 4.0190, 12.6718, 14.4377 Å; angles 90.00, 90.00, 90.00 degrees
Fractional coordinates of all 28 atoms:
Th1 0.2500 0.9537 0.1098
Th2 0.7500 0.0463 0.8902
Th3 0.2500 0.4537 0.3902
Th4 0.7500 0.5463 0.6098
Th5 0.2500 0.9945 0.6887
Th6 0.7500 0.0055 0.3113
Th7 0.2500 0.4945 0.8113
Th8 0.7500 0.5055 0.1887
Th9 0.2500 0.6922 0.0417
Th10 0.7500 0.3078 0.9583
Th11 0.2500 0.1922 0.4583
Th12 0.7500 0.8078 0.5417
Th13 0.7500 0.7572 0.8036
Th14 0.2500 0.2428 0.1964
Th15 0.2500 0.7428 0.3036
Th16 0.7500 0.2572 0.6964
Tc1 0.7500 0.2993 0.3241
Tc2 0.2500 0.7007 0.6759
Tc3 0.7500 0.7993 0.1759
Tc4 0.2500 0.2007 0.8241
Pt1 0.2500 0.4386 0.0553
Pt2 0.7500 0.0614 0.5553
Pt3 0.2500 0.9386 0.4447
Pt4 0.7500 0.5614 0.9447
Pt5 0.7500 0.6200 0.4114
Pt6 0.2500 0.3800 0.5886
Pt7 0.7500 0.1200 0.0886
Pt8 0.2500 0.8800 0.9114

Total moment in Bohr magnetons per cell: 0.000
Calculated formation energy in eV/atom: -0.697
VASP energy in Ha/atom: -0.299
Symmetry: Pnma
DOS(E_F) in states/eV/f.u.: 5.82

***

Entry 5:
DFT (PBE-GGA) results for an optimized crystal structure of Th2TcPt.

Cell lengths 3.5537, 3.5537, 7.3761 Å; angles 90.00, 90.00, 90.00 degrees
Fractional coordinates of all 4 atoms:
Pt1 0.5000 0.5000 0.5000
Th1 0.0000 0.0000 0.7581
Th2 0.0000 0.0000 0.2419
Tc1 0.5000 0.5000 0.0000

Total moment in Bohr magnetons per cell: 0.000
Calculated formation energy in eV/atom: -0.560
VASP energy in Ha/atom: -0.308
Symmetry: P4/mmm
DOS(E_F) in states/eV/f.u.: 2.90

***

Entry 6:
DFT (PBE-GGA) results for an optimized crystal structure of Th4TcPt3.

Cell lengths 5.8989, 5.8989, 7.2120 Å; angles 114.14, 114.14, 90.00 degrees
Fractional coordinates of all 8 atoms:
Pt1 0.5000 0.5000 0.0000
Pt2 0.7500 0.2500 0.5000
Pt3 0.2500 0.7500 0.5000
Tc1 0.0000 0.0000 0.0000
Th1 0.0000 0.5000 0.0000
Th2 0.5000 0.0000 0.0000
Th3 0.2406 0.2406 0.4811
Th4 0.7594 0.7594 0.5189

Total moment in Bohr magnetons per cell: 0.000
Calculated formation energy in eV/atom: -0.917
VASP energy in Ha/atom: -0.301
Symmetry: I4/mmm
DOS(E_F) in states/eV/f.u.: 4.72

***

Entry 7:
DFT (PBE-GGA) results for an optimized crystal structure of Th5TcPt4.

Cell lengths 5.9034, 7.2275, 7.2275 Å; angles 80.40, 65.90, 65.90 degrees
Fractional coordinates of all 10 atoms:
Th1 0.9014 0.3867 0.8126
Th2 0.2881 0.8126 0.6133
Th3 0.7140 0.1874 0.3867
Th4 0.1007 0.6133 0.1874
Th5 0.5010 0.0000 0.0000
Tc1 0.0011 0.0000 0.0000
Pt1 0.4075 0.3983 0.7887
Pt2 0.8059 0.7887 0.6017
Pt3 0.1962 0.2113 0.3983
Pt4 0.5945 0.6017 0.2113

Total moment in Bohr magnetons per cell: 0.000
Calculated formation energy in eV/atom: -0.990
VASP energy in Ha/atom: -0.300
Symmetry: I4/m
DOS(E_F) in states/eV/f.u.: 6.01

***

Entry 8:
DFT (PBE-GGA) results for an optimized crystal structure of Th6Tc2Pt.

Cell lengths 4.0429, 7.3007, 9.9692 Å; angles 112.62, 90.00, 106.07 degrees
Fractional coordinates of all 9 atoms:
Th1 0.3555 0.7109 0.8415
Th2 0.6445 0.2891 0.1585
Th3 0.9203 0.8406 0.1764
Th4 0.6597 0.3195 0.5527
Th5 0.0797 0.1594 0.8236
Th6 0.3403 0.6805 0.4473
Tc1 0.7284 0.4568 0.8754
Tc2 0.2716 0.5432 0.1246
Pt1 0.0000 0.0000 0.5000

Total moment in Bohr magnetons per cell: 0.000
Calculated formation energy in eV/atom: -0.281
VASP energy in Ha/atom: -0.301
Symmetry: C2/m
DOS(E_F) in states/eV/f.u.: 10.34

***

Question: Number 3 is which compound?
Answer: Th6TcPt5

***

Question: Number 5 is which compound?
Answer: Th2TcPt

***

Question: DOS(E_F) of number 6 (Th4TcPt3)?
Answer: 4.72 states/eV/f.u.